An optimized crystal structure of BeAs2Cl, computed with PBE-GGA.

abc: 7.5937 7.5937 7.5937
angles: 158.20 142.38 43.90
Last column: nearest neighbours and their distance in Å.
Element x y z (fractional)
Be 0.0000 0.0000 0.0000  2 Cl 2.01
As 0.4175 0.4175 0.0000  4 As 2.62-2.87
As 0.8516 0.3516 0.5000  2 Be 2.54, 2 As 2.62
Cl 0.0999 0.5999 0.5000  2 Be 2.01

## Properties
raw total energy	-0.1414	Ha/atom
energy above the lowest structure with this stoichiometry	76	meV/atom
space-group type	Imm2, No. 44


An optimized crystal structure of BeAs2Cl, computed with PBE-GGA.

abc: 2.9684 2.9684 8.8561
angles: 90.00 90.00 90.00
Last column: nearest neighbours and their distance in Å.
Element x y z (fractional)
Be 0.0000 0.0000 0.0000  4 Cl 2.45
As 0.0000 0.0000 0.5821  8 As 2.85-2.97
As 0.5000 0.5000 0.7994  4 Be 2.75, 8 As 2.85-2.97, 1 Cl 3.04
Cl 0.5000 0.5000 0.1432  4 Be 2.45

## Properties
raw total energy	-0.1272	Ha/atom
energy above the lowest structure with this stoichiometry	464	meV/atom
space-group type	P4mm, No. 99


An optimized crystal structure of BeAs2Cl, computed with PBE-GGA.

abc: 3.1255 4.4114 5.1044
angles: 90.00 90.00 90.00
Last column: nearest neighbours and their distance in Å.
Element x y z (fractional)
Be 0.0000 0.0000 0.0000  4 As 2.70, 4 Cl 2.99
As 0.0000 0.5000 0.5000  4 Cl 2.70, 4 As 2.99
As 0.5000 0.5000 0.0000  4 Be 2.70, 4 As 2.99
Cl 0.5000 0.0000 0.5000  4 As 2.70, 4 Be 2.99

## Properties
raw total energy	-0.1164	Ha/atom
energy above the lowest structure with this stoichiometry	757	meV/atom
space-group type	Pmmm, No. 47


- What is the formula in the second record?
  BeAs2Cl